No. 1
Below is crystalline NaLiSn3 at its relaxed geometry, with properties calculated at the PBE-GGA level.

Summary:
DOS(E_F), states/eV/atom: 0.429
Total magnetization, μB per atom: 0.000
Crystal system: orthorhombic
Energy relative to the elements, kcal/mol of atoms: -3.18
Offset from the most stable computed form, meV per atom: 20

a = 6.3302 Å, b = 6.7946 Å, c = 12.2922 Å
α = 90.00°, β = 90.00°, γ = 90.00°
Last column: nearest neighbours and their distance in Å.
Sites, in units of the cell vectors:
Na 0.5000 0.0000 0.0000  2 Li 3.25, 8 Sn 3.29-3.61
Na 0.0000 0.5000 0.5000  2 Li 3.25, 8 Sn 3.29-3.61
Na 0.0000 0.5000 0.0000  2 Li 3.25, 8 Sn 3.29-3.61
Na 0.5000 0.0000 0.5000  2 Li 3.25, 8 Sn 3.29-3.61
Sn 0.5042 0.5634 0.8841  2 Li 2.86-2.97, 3 Sn 2.98-3.18
Sn 0.5042 0.5634 0.6159  2 Li 2.86-2.97, 3 Sn 2.98-3.18
Sn 0.4958 0.4366 0.3841  2 Li 2.86-2.97, 3 Sn 2.98-3.18
Sn 0.9958 0.0634 0.1159  2 Li 2.86-2.97, 3 Sn 2.98-3.18
Sn 0.4958 0.4366 0.1159  2 Li 2.86-2.97, 3 Sn 2.98-3.18
Sn 0.0042 0.9366 0.8841  2 Li 2.86-2.97, 3 Sn 2.98-3.18
Sn 0.0042 0.9366 0.6159  2 Li 2.86-2.97, 3 Sn 2.98-3.18
Sn 0.3109 0.2172 0.7500  2 Li 2.93-2.94, 6 Sn 3.12-3.20
Sn 0.1891 0.7172 0.2500  2 Li 2.93-2.94, 6 Sn 3.12-3.20
Sn 0.9958 0.0634 0.3841  2 Li 2.86-2.97, 3 Sn 2.98-3.18
Sn 0.6891 0.7828 0.2500  2 Li 2.93-2.94, 6 Sn 3.12-3.20
Sn 0.8109 0.2828 0.7500  2 Li 2.93-2.94, 6 Sn 3.12-3.20
Li 0.1165 0.6092 0.7500  6 Sn 2.86-2.97
Li 0.3835 0.1092 0.2500  6 Sn 2.86-2.97
Li 0.8835 0.3908 0.2500  6 Sn 2.86-2.97
Li 0.6165 0.8908 0.7500  6 Sn 2.86-2.97


No. 2
Below is crystalline Na2LiSn at its relaxed geometry, with properties calculated at the PBE-GGA level.

Summary:
DOS(E_F), states/eV/atom: 0.524
Total magnetization, μB per atom: 0.000
Crystal system: tetragonal
Energy relative to the elements, kcal/mol of atoms: -4.19

a = 4.9674 Å, b = 4.9674 Å, c = 8.7948 Å
α = 106.40°, β = 106.40°, γ = 90.00°
Last column: nearest neighbours and their distance in Å.
Sites, in units of the cell vectors:
Li 0.7500 0.2500 0.5000  4 Na 2.98, 4 Sn 3.01
Li 0.2500 0.7500 0.5000  4 Na 2.98, 4 Sn 3.01
Na 0.5000 0.0000 0.0000  4 Sn 3.40, 8 Na 3.44-3.51
Na 0.6478 0.6478 0.2955  4 Li 2.98
Na 0.3522 0.3522 0.7045  4 Li 2.98
Na 0.0000 0.5000 0.0000  4 Sn 3.40, 8 Na 3.44-3.51
Sn 0.8556 0.8556 0.7112  4 Li 3.01, 1 Na 3.35
Sn 0.1444 0.1444 0.2888  4 Li 3.01, 1 Na 3.35


No. 3
Below is crystalline Na3Li2Sn at its relaxed geometry, with properties calculated at the PBE-GGA level.

Summary:
DOS(E_F), states/eV/atom: 0.358
Total magnetization, μB per atom: 0.000
Crystal system: monoclinic
Energy relative to the elements, kcal/mol of atoms: -3.28
Offset from the most stable computed form, meV per atom: 0

a = 4.9509 Å, b = 9.4938 Å, c = 8.4251 Å
α = 118.85°, β = 90.00°, γ = 105.11°
Last column: nearest neighbours and their distance in Å.
Sites, in units of the cell vectors:
Na 0.3082 0.6164 0.5795  1 Li 2.85, 2 Na 3.10
Na 0.9768 0.9536 0.7608  4 Li 3.29-3.57, 2 Sn 3.32-3.38, 3 Na 3.65-3.68
Na 0.6096 0.2192 0.6942  4 Li 3.04-3.27, 1 Na 3.33
Na 0.3904 0.7808 0.3058  4 Li 3.04-3.27, 1 Na 3.33
Na 0.0232 0.0464 0.2392  4 Li 3.29-3.57, 2 Sn 3.32-3.38, 3 Na 3.65-3.68
Na 0.6918 0.3836 0.4205  1 Li 2.85, 2 Na 3.10
Sn 0.8264 0.6529 0.8713  5 Li 2.82-2.95
Sn 0.1736 0.3471 0.1287  5 Li 2.82-2.95
Li 0.5888 0.1776 0.0307  2 Li 2.81-3.03, 2 Sn 2.82, 2 Na 2.85-3.04
Li 0.2423 0.4846 0.8855  3 Li 2.81-3.06, 3 Sn 2.89-2.95
Li 0.4112 0.8224 0.9693  2 Li 2.81-3.03, 2 Sn 2.82, 2 Na 2.85-3.04
Li 0.7577 0.5154 0.1145  3 Li 2.81-3.06, 3 Sn 2.89-2.95


No. 4
Below is crystalline NaLi5Sn4 at its relaxed geometry, with properties calculated at the PBE-GGA level.

Summary:
DOS(E_F), states/eV/atom: 0.421
Total magnetization, μB per atom: 0.000
Crystal system: tetragonal
Energy relative to the elements, kcal/mol of atoms: -6.11
Offset from the most stable computed form, meV per atom: 0

a = 3.5528 Å, b = 3.5528 Å, c = 17.0940 Å
α = 90.00°, β = 90.00°, γ = 90.00°
Last column: nearest neighbours and their distance in Å.
Sites, in units of the cell vectors:
Li 0.5000 0.5000 0.1288  4 Sn 2.89, 1 Li 3.08
Li 0.5000 0.5000 0.5000  8 Sn 3.02, 2 Li 3.27
Li 0.5000 0.5000 0.6913  8 Sn 2.97-3.01, 2 Li 3.08-3.27
Li 0.5000 0.5000 0.3087  8 Sn 2.97-3.01, 2 Li 3.08-3.27
Li 0.5000 0.5000 0.8712  4 Sn 2.89, 1 Li 3.08
Na 0.0000 0.0000 0.0000  8 Li 3.34, 4 Na 3.55, 2 Sn 3.62
Sn 0.0000 0.0000 0.7881  8 Li 2.89-3.01
Sn 0.0000 0.0000 0.2119  8 Li 2.89-3.01
Sn 0.0000 0.0000 0.4017  8 Li 2.97-3.02, 1 Sn 3.24
Sn 0.0000 0.0000 0.5983  8 Li 2.97-3.02, 1 Sn 3.24


No. 5
Below is crystalline Na2LiSn at its relaxed geometry, with properties calculated at the PBE-GGA level.

Summary:
DOS(E_F), states/eV/atom: 0.340
Total magnetization, μB per atom: 0.000
Crystal system: tetragonal
Energy relative to the elements, kcal/mol of atoms: -0.31

a = 4.3693 Å, b = 4.3693 Å, c = 11.6528 Å
α = 79.19°, β = 79.19°, γ = 90.00°
Last column: nearest neighbours and their distance in Å.
Sites, in units of the cell vectors:
Li 0.5000 0.5000 0.0000  4 Sn 3.09, 4 Na 3.22
Li 0.2500 0.7500 0.5000  4 Sn 3.09, 4 Na 3.22
Na 0.1182 0.6250 0.2500  4 Na 3.05-3.13, 2 Sn 3.20, 2 Li 3.22
Na 0.3750 0.3682 0.7500  4 Na 3.05-3.13, 2 Sn 3.20, 2 Li 3.22
Na 0.8750 0.8818 0.7500  4 Na 3.05-3.13, 2 Sn 3.20, 2 Li 3.22
Na 0.6318 0.1250 0.2500  4 Na 3.05-3.13, 2 Sn 3.20, 2 Li 3.22
Sn 0.7500 0.2500 0.5000  4 Li 3.09, 4 Na 3.20
Sn 0.0000 0.0000 0.0000  4 Li 3.09, 4 Na 3.20


No. 6
Below is crystalline NaLi2Sn6 at its relaxed geometry, with properties calculated at the PBE-GGA level.

Summary:
DOS(E_F), states/eV/atom: 0.286
Total magnetization, μB per atom: 0.000
Crystal system: monoclinic
Energy relative to the elements, kcal/mol of atoms: -3.50

a = 3.4258 Å, b = 9.3942 Å, c = 9.3942 Å
α = 52.16°, β = 79.57°, γ = 79.57°
Last column: nearest neighbours and their distance in Å.
Sites, in units of the cell vectors:
Sn 0.3238 0.9938 0.3622  4 Sn 3.04-3.17, 3 Li 3.18-3.35
Sn 0.6762 0.6378 0.0062  4 Sn 3.04-3.17, 3 Li 3.18-3.35
Sn 0.5000 0.6740 0.3260  3 Sn 2.87-3.17, 2 Na 3.19
Sn 0.6762 0.0062 0.6378  4 Sn 3.04-3.17, 3 Li 3.18-3.35
Sn 0.5000 0.3260 0.6740  3 Sn 2.87-3.17, 2 Na 3.19
Sn 0.3238 0.3622 0.9938  4 Sn 3.04-3.17, 3 Li 3.18-3.35
Li 0.1412 0.3586 0.3586  10 Sn 3.18-3.35, 2 Li 3.43
Li 0.8588 0.6414 0.6414  10 Sn 3.18-3.35, 2 Li 3.43
Na 0.0000 0.0000 0.0000  4 Sn 3.19, 2 Na 3.43


No. 7
Below is crystalline NaLi2Sn2 at its relaxed geometry, with properties calculated at the PBE-GGA level.

Summary:
DOS(E_F), states/eV/atom: 0.379
Total magnetization, μB per atom: 0.000
Crystal system: tetragonal
Energy relative to the elements, kcal/mol of atoms: -4.18
Offset from the most stable computed form, meV per atom: 97

a = 4.2068 Å, b = 4.2068 Å, c = 7.3567 Å
α = 73.39°, β = 73.39°, γ = 90.00°
Last column: nearest neighbours and their distance in Å.
Sites, in units of the cell vectors:
Sn 0.3937 0.3937 0.2127  4 Li 2.86, 1 Sn 2.86
Sn 0.6063 0.6063 0.7873  4 Li 2.86, 1 Sn 2.86
Li 0.7500 0.2500 0.5000  4 Sn 2.86, 4 Li 2.97
Li 0.2500 0.7500 0.5000  4 Sn 2.86, 4 Li 2.97
Na 0.0000 0.0000 0.0000  8 Sn 3.30


No. 8
Below is crystalline Na2Li4Sn3 at its relaxed geometry, with properties calculated at the PBE-GGA level.

Summary:
DOS(E_F), states/eV/atom: 0.319
Total magnetization, μB per atom: 0.000
Crystal system: monoclinic
Energy relative to the elements, kcal/mol of atoms: -5.19
Offset from the most stable computed form, meV per atom: 55

a = 4.9509 Å, b = 9.4875 Å, c = 9.4875 Å
α = 67.91°, β = 98.39°, γ = 98.39°
Last column: nearest neighbours and their distance in Å.
Sites, in units of the cell vectors:
Li 0.0178 0.1698 0.9159  4 Li 2.76-3.00, 4 Sn 2.90-3.02
Li 0.5178 0.9159 0.1698  4 Li 2.76-3.00, 4 Sn 2.90-3.02
Li 0.4822 0.0841 0.8302  4 Li 2.76-3.00, 4 Sn 2.90-3.02
Li 0.3070 0.4555 0.7388  2 Li 2.89-3.01, 4 Sn 2.91-3.07, 2 Na 2.98-3.19
Li 0.9822 0.8302 0.0841  4 Li 2.76-3.00, 4 Sn 2.90-3.02
Li 0.8070 0.7388 0.4555  2 Li 2.89-3.01, 4 Sn 2.91-3.07, 2 Na 2.98-3.19
Li 0.1930 0.2612 0.5445  2 Li 2.89-3.01, 4 Sn 2.91-3.07, 2 Na 2.98-3.19
Li 0.6930 0.5445 0.2612  2 Li 2.89-3.01, 4 Sn 2.91-3.07, 2 Na 2.98-3.19
Sn 0.9350 0.9517 0.7524  5 Li 2.90-3.07, 2 Na 3.20-3.22
Sn 0.4350 0.7524 0.9517  5 Li 2.90-3.07, 2 Na 3.20-3.22
Sn 0.7500 0.3908 0.6092  8 Li 2.91-3.12
Sn 0.2500 0.6092 0.3908  8 Li 2.91-3.12
Sn 0.0650 0.0483 0.2476  5 Li 2.90-3.07, 2 Na 3.20-3.22
Sn 0.5650 0.2476 0.0483  5 Li 2.90-3.07, 2 Na 3.20-3.22
Na 0.1539 0.4115 0.1577  2 Li 2.98-3.19, 1 Na 3.12, 4 Sn 3.20-3.32
Na 0.3461 0.8423 0.5885  2 Li 2.98-3.19, 1 Na 3.12, 4 Sn 3.20-3.32
Na 0.6539 0.1577 0.4115  2 Li 2.98-3.19, 1 Na 3.12, 4 Sn 3.20-3.32
Na 0.8461 0.5885 0.8423  2 Li 2.98-3.19, 1 Na 3.12, 4 Sn 3.20-3.32